# 1
Pu2GePt | PBE | relaxed

Properties
total moment	2.691	μB/atom
space-group type	P4/mmm (123)
Fermi-level density of states	11.8	states/eV/cell

Unit cell a=4.2131 b=4.4660 c=4.4660 alpha=90.00 beta=90.00 gamma=90.00
Last column: magnetic moment on the atom in μB.
Positions (direct):
1 Pu 0.0000 0.5000 0.0000  5.26
2 Pt 0.5000 0.5000 0.5000  0.02
3 Pu 0.0000 0.0000 0.5000  5.26
4 Ge 0.5000 0.0000 0.0000  -0.10

---

# 2
MgMo2W | PBE | relaxed

Properties
total moment	0.000	μB/atom
space-group type	Pmm2 (25)
Fermi-level density of states	3.2	states/eV/cell

Unit cell a=2.6480 b=4.5257 c=5.4924 alpha=90.00 beta=90.00 gamma=90.00
Positions (direct):
1 Mg 0.5000 0.5000 0.7516
2 Mo 0.5000 0.5000 0.2521
3 W 0.0000 0.0000 0.4978
4 Mo 0.0000 0.0000 0.9985

---

Computed formation energy from the elements (kcal/mol of atoms) in order:
-13.44; 9.06